No. 1
Below is a geometry-optimized Zr2AlPt structure, with properties calculated at the PBE level.

```
4
Lattice="2.168 1.252 5.079 -2.168 1.252 5.079 0.000 -2.504 5.079" Properties=species:S:1:pos:R:3 pbc="T T T"
Zr 0.000 0.000 0.000
Zr 0.000 0.000 3.108
Al 0.000 0.000 6.458
Pt 0.000 0.000 12.129
```

## Properties
SG   No. 160
Energy of formation from the pure elements   -546 meV per atom



No. 2
Below is a geometry-optimized CaMn2Sb2 structure, with properties calculated at the PBE level.

```
5
Lattice="-2.147 2.147 6.205 2.147 -2.147 6.205 2.147 2.147 -6.205" Properties=species:S:1:pos:R:3 pbc="T T T"
Ca 0.000 0.000 0.000
Mn 2.147 0.000 3.103
Mn 0.000 2.147 3.103
Sb 0.000 0.000 4.670
Sb 0.000 0.000 7.740
```

## Properties
Uncorrected formation energy   -216 meV/atom
SG   No. 139



No. 3
Below is a geometry-optimized ScCrCu2 structure, with properties calculated at the PBE level.

```
4
Lattice="1.920 -1.925 0.000 1.920 1.925 0.000 0.000 0.000 7.658" Properties=species:S:1:pos:R:3 pbc="T T T"
Sc 0.000 0.000 0.000
Cr 1.920 0.000 2.112
Cu 0.000 0.000 3.820
Cu 1.920 0.000 5.510
```

## Properties
SG   No. 35
E above lowest polymorph   188 meV/atom
Energy of formation from the pure elements   230 meV per atom



No. 4
Below is a geometry-optimized CsMgSb3 structure, with properties calculated at the PBE level.

```
5
Lattice="6.156 0.000 0.000 0.000 6.156 0.000 0.000 0.000 6.156" Properties=species:S:1:pos:R:3 pbc="T T T"
Cs 0.000 0.000 0.000
Mg 3.078 3.078 3.078
Sb 0.000 0.000 3.078
Sb 0.000 3.078 0.000
Sb 3.078 0.000 0.000
```

## Properties
Uncorrected formation energy   1439 meV/atom
SG   No. 221
E above lowest polymorph   1312 meV/atom



Size of the total moment values (in μB/cell) by entry order: 0.0 6.7 0.0 0.0.
Energy values (in eV per atom) by entry order: -7.27 -5.93 -5.81 -1.52.